# 1
Below is a relaxed structure of Sc3GaN, with properties calculated at the PBE-GGA level.

Geometry as CIF:
```
data_Sc3GaN
_cell_length_a 21.2392
_cell_length_b 5.9324
_cell_length_c 8.1763
_cell_angle_alpha 90.00
_cell_angle_beta 159.74
_cell_angle_gamma 90.00
_space_group_name_H-M_alt 'P 1'
_space_group_IT_number 1
loop_
_space_group_symop_operation_xyz
'x,y,z'
loop_
_atom_site_label
_atom_site_type_symbol
_atom_site_fract_x
_atom_site_fract_y
_atom_site_fract_z
N1 N 0.8953 0.6624 0.3953
Sc1 Sc 0.8611 0.2500 0.8611
Sc2 Sc 0.6389 0.7500 0.6389
Sc3 Sc 0.7483 0.5012 0.2482
Sc4 Sc 0.2483 0.9988 0.7482
Sc5 Sc 0.5523 0.7869 0.0523
Sc6 Sc 0.0523 0.7131 0.5523
N2 N 0.1047 0.3376 0.6047
Ga1 Ga 0.0752 0.2500 0.0752
Ga2 Ga 0.9248 0.7500 0.9248
Sc7 Sc 0.9477 0.2869 0.4477
Sc8 Sc 0.4477 0.2131 0.9477
N3 N 0.3953 0.8376 0.8953
Sc9 Sc 0.2517 0.4988 0.7518
Sc10 Sc 0.3611 0.2500 0.3611
Sc11 Sc 0.1389 0.7500 0.1389
N4 N 0.6047 0.1624 0.1047
Sc12 Sc 0.7517 0.0012 0.2518
Ga3 Ga 0.5752 0.2500 0.5752
Ga4 Ga 0.4248 0.7500 0.4248
```

- Magnetization: 0.000 μB/f.u.
- ΔE_f (raw): -0.847 eV per atom
- DFT total energy: -6.92 eV/atom
- Space group: Cmce (64)
- DOS at the Fermi energy: 12.5 states/eV/cell



# 2
Below is a relaxed structure of LuPuMo, with properties calculated at the PBE-GGA level.

Geometry as CIF:
```
data_LuPuMo
_cell_length_a 3.4533
_cell_length_b 3.4533
_cell_length_c 6.1392
_cell_angle_alpha 106.34
_cell_angle_beta 106.34
_cell_angle_gamma 90.00
_space_group_name_H-M_alt 'P 1'
_space_group_IT_number 1
loop_
_space_group_symop_operation_xyz
'x,y,z'
loop_
_atom_site_label
_atom_site_type_symbol
_atom_site_fract_x
_atom_site_fract_y
_atom_site_fract_z
Mo1 Mo 0.6805 0.6805 0.3610
Lu1 Lu 0.0143 0.0143 0.0287
Pu1 Pu 0.3052 0.3052 0.6103
```

- Magnetization: 4.797 μB/f.u.
- Formation energy from the elements: 0.23 eV/atom
- DFT total energy: -9.67 eV/atom
- Space group: I4mm (107)
- DOS at the Fermi energy: 5.8 states/eV/cell



# 3
Below is a relaxed structure of ZnAs3Pd, with properties calculated at the PBE-GGA level.

Geometry as CIF:
```
data_ZnAs3Pd
_cell_length_a 4.9036
_cell_length_b 4.9036
_cell_length_c 4.9036
_cell_angle_alpha 90.00
_cell_angle_beta 90.00
_cell_angle_gamma 90.00
_space_group_name_H-M_alt 'P 1'
_space_group_IT_number 1
loop_
_space_group_symop_operation_xyz
'x,y,z'
loop_
_atom_site_label
_atom_site_type_symbol
_atom_site_fract_x
_atom_site_fract_y
_atom_site_fract_z
As1 As 0.5000 0.0000 0.0000
As2 As 0.0000 0.5000 0.0000
Zn1 Zn 0.5000 0.5000 0.5000
As3 As 0.0000 0.0000 0.5000
Pd1 Pd 0.0000 0.0000 0.0000
```

- Magnetization: 0.000 μB/f.u.
- Formation energy from the elements: 0.63 eV/atom
- DFT total energy: -3.45 eV/atom
- Space group: Pm-3m (221)
- DOS at the Fermi energy: 4.0 states/eV/cell



# 4
Below is a relaxed structure of Ta3AgPb, with properties calculated at the PBE-GGA level.

Geometry as CIF:
```
data_Ta3AgPb
_cell_length_a 4.9331
_cell_length_b 4.9331
_cell_length_c 4.9331
_cell_angle_alpha 90.00
_cell_angle_beta 90.00
_cell_angle_gamma 90.00
_space_group_name_H-M_alt 'P 1'
_space_group_IT_number 1
loop_
_space_group_symop_operation_xyz
'x,y,z'
loop_
_atom_site_label
_atom_site_type_symbol
_atom_site_fract_x
_atom_site_fract_y
_atom_site_fract_z
Ag1 Ag 0.0000 0.0000 0.0000
Ta1 Ta 0.0000 0.5000 0.0000
Ta2 Ta 0.5000 0.0000 0.0000
Ta3 Ta 0.0000 0.0000 0.5000
Pb1 Pb 0.5000 0.5000 0.5000
```

- Magnetization: 0.000 μB/f.u.
- Formation energy from the elements: 1.78 eV/atom
- DFT total energy: -6.64 eV/atom
- Space group: Pm-3m (221)
- DOS at the Fermi energy: 4.3 states/eV/cell



# 5
Below is a relaxed structure of ErAgBr6, with properties calculated at the PBE-GGA level.

Geometry as CIF:
```
data_ErAgBr6
_cell_length_a 8.6514
_cell_length_b 9.3728
_cell_length_c 7.2788
_cell_angle_alpha 57.75
_cell_angle_beta 58.11
_cell_angle_gamma 38.02
_space_group_name_H-M_alt 'P 1'
_space_group_IT_number 1
loop_
_space_group_symop_operation_xyz
'x,y,z'
loop_
_atom_site_label
_atom_site_type_symbol
_atom_site_fract_x
_atom_site_fract_y
_atom_site_fract_z
Br1 Br 0.7154 0.0913 0.8540
Br2 Br 0.8902 0.4621 0.3328
Br3 Br 0.3963 0.7624 0.7043
Er1 Er 0.5000 0.5000 0.5000
Br4 Br 0.6037 0.2376 0.2957
Br5 Br 0.2846 0.9087 0.1460
Br6 Br 0.1098 0.5379 0.6672
Ag1 Ag 0.0000 0.0000 0.0000
```

- Magnetization: 0.000 μB/f.u.
- ΔE_f (raw): -0.902 eV per atom
- DFT total energy: -3.08 eV/atom
- Space group: P-1 (2)



# 6
Below is a relaxed structure of SrYSi2, with properties calculated at the PBE-GGA level.

Geometry as CIF:
```
data_SrYSi2
_cell_length_a 3.5188
_cell_length_b 5.0098
_cell_length_c 6.0570
_cell_angle_alpha 90.00
_cell_angle_beta 90.00
_cell_angle_gamma 90.00
_space_group_name_H-M_alt 'P 1'
_space_group_IT_number 1
loop_
_space_group_symop_operation_xyz
'x,y,z'
loop_
_atom_site_label
_atom_site_type_symbol
_atom_site_fract_x
_atom_site_fract_y
_atom_site_fract_z
Si1 Si 0.0000 0.0000 0.8751
Y1 Y 0.5000 0.5000 0.8749
Si2 Si 0.5000 0.5000 0.3749
Sr1 Sr 0.0000 0.0000 0.3751
```

- Magnetization: 0.000 μB/f.u.
- ΔE_f (raw): -0.113 eV per atom
- DFT total energy: -4.86 eV/atom
- Space group: Pmmm (47)
- DOS at the Fermi energy: 3.8 states/eV/cell



# 7
Below is a relaxed structure of Pm3Tl3Cd2, with properties calculated at the PBE-GGA level.

Geometry as CIF:
```
data_Pm3Tl3Cd2
_cell_length_a 4.6273
_cell_length_b 5.0331
_cell_length_c 9.9978
_cell_angle_alpha 104.60
_cell_angle_beta 103.38
_cell_angle_gamma 90.00
_space_group_name_H-M_alt 'P 1'
_space_group_IT_number 1
loop_
_space_group_symop_operation_xyz
'x,y,z'
loop_
_atom_site_label
_atom_site_type_symbol
_atom_site_fract_x
_atom_site_fract_y
_atom_site_fract_z
Pm1 Pm 0.0000 0.0000 0.0000
Tl1 Tl 0.5000 0.5000 0.0000
Pm2 Pm 0.1366 0.6374 0.2731
Tl2 Tl 0.6307 0.1314 0.2613
Tl3 Tl 0.3693 0.8686 0.7387
Pm3 Pm 0.8634 0.3626 0.7269
Cd1 Cd 0.7548 0.7538 0.5095
Cd2 Cd 0.2452 0.2462 0.4905
```

- Magnetization: 0.000 μB/f.u.
- Formation energy from the elements: -0.30 eV/atom
- DFT total energy: -3.19 eV/atom
- Space group: C2/m (12)
- DOS at the Fermi energy: 5.3 states/eV/cell



# 8
Below is a relaxed structure of NbV2, with properties calculated at the PBE-GGA level.

Geometry as CIF:
```
data_NbV2
_cell_length_a 5.5169
_cell_length_b 4.4490
_cell_length_c 7.4185
_cell_angle_alpha 90.00
_cell_angle_beta 91.37
_cell_angle_gamma 90.00
_space_group_name_H-M_alt 'P 1'
_space_group_IT_number 1
loop_
_space_group_symop_operation_xyz
'x,y,z'
loop_
_atom_site_label
_atom_site_type_symbol
_atom_site_fract_x
_atom_site_fract_y
_atom_site_fract_z
V1 V 0.1608 0.5000 0.8325
V2 V 0.0000 0.0000 0.0000
V3 V 0.1608 0.0000 0.3325
Nb1 Nb 0.6747 0.0000 0.3335
V4 V 0.0000 0.5000 0.5000
Nb2 Nb 0.6747 0.5000 0.8335
V5 V 0.5000 0.5000 0.5000
V6 V 0.8392 0.0000 0.6675
V7 V 0.5000 0.0000 0.0000
Nb3 Nb 0.3253 0.0000 0.6665
Nb4 Nb 0.3253 0.5000 0.1665
V8 V 0.8392 0.5000 0.1675
```

- Magnetization: 0.000 μB/f.u.
- Formation energy from the elements: 0.04 eV/atom
- DFT total energy: -9.39 eV/atom
- Space group: C2/m (12)
- DOS at the Fermi energy: 21.9 states/eV/cell



# 9
Below is a relaxed structure of LaSiBi, with properties calculated at the PBE-GGA level.

Geometry as CIF:
```
data_LaSiBi
_cell_length_a 4.2384
_cell_length_b 4.3596
_cell_length_c 9.2257
_cell_angle_alpha 76.33
_cell_angle_beta 90.00
_cell_angle_gamma 90.00
_space_group_name_H-M_alt 'P 1'
_space_group_IT_number 1
loop_
_space_group_symop_operation_xyz
'x,y,z'
loop_
_atom_site_label
_atom_site_type_symbol
_atom_site_fract_x
_atom_site_fract_y
_atom_site_fract_z
La1 La 0.7500 0.0957 0.8086
Bi1 Bi 0.7500 0.3118 0.3764
Si1 Si 0.7500 0.4668 0.0663
Bi2 Bi 0.2500 0.6882 0.6236
La2 La 0.2500 0.9043 0.1914
Si2 Si 0.2500 0.5332 0.9337
```

- Magnetization: 0.000 μB/f.u.
- ΔE_f (raw): -0.644 eV per atom
- DFT total energy: -5.39 eV/atom
- Space group: Cmcm (63)
- DOS at the Fermi energy: 2.4 states/eV/cell